1.
K3SbO4: optimized geometry, PBE.

abc: 6.4056 6.4056 6.4056
angles: 119.39 94.97 115.01
Element x y z (fractional)
K 0.0000 0.0000 0.0000
K 0.2067 0.4343 0.7724
K 0.6618 0.4343 0.2276
Sb 0.4282 0.9282 0.5000
O 0.2725 0.0161 0.7436
O 0.2725 0.5289 0.2564
O 0.3941 0.0792 0.3149
O 0.7643 0.0792 0.6851

Properties
total magnetic moment: 0.00 μB per formula unit
ΔE to the lowest computed polymorph: 47 kJ/mol of formula units
uncorrected energy: -0.181 Ha/atom

=====

2.
K4SbO5: optimized geometry, PBE.

abc: 7.3167 7.3167 7.3167
angles: 94.69 94.69 146.75
Element x y z (fractional)
K 0.1013 0.2519 0.3532
K 0.2519 0.8987 0.1507
K 0.7481 0.1013 0.8493
K 0.8987 0.7481 0.6468
Sb 0.5000 0.5000 0.0000
O 0.0000 0.0000 0.0000
O 0.3121 0.4250 0.7371
O 0.4250 0.6879 0.1128
O 0.5750 0.3121 0.8872
O 0.6879 0.5750 0.2629

Properties
total magnetic moment: 1.05 μB per formula unit
ΔE to the lowest computed polymorph: 16 kJ/mol of formula units
uncorrected energy: -0.174 Ha/atom

=====

3.
KSb3O8: optimized geometry, PBE.

abc: 5.6334 5.6334 7.5519
angles: 90.00 90.00 120.00
Element x y z (fractional)
K 0.0000 0.0000 0.0000
Sb 0.0000 0.0000 0.5000
Sb 0.3333 0.6667 0.5720
Sb 0.6667 0.3333 0.4280
O 0.0790 0.3607 0.3843
O 0.2817 0.9210 0.3843
O 0.3333 0.6667 0.8190
O 0.3607 0.2817 0.6157
O 0.6393 0.7183 0.3843
O 0.6667 0.3333 0.1810
O 0.7183 0.0790 0.6157
O 0.9210 0.6393 0.6157

Properties
total magnetic moment: 0.18 μB per formula unit
uncorrected energy: -0.202 Ha/atom

=====

4.
K2Sb2O3: optimized geometry, PBE.

abc: 7.1919 7.1919 7.1919
angles: 109.47 109.47 109.47
Element x y z (fractional)
K 0.0000 0.4768 0.5000
K 0.0232 0.0232 0.0232
K 0.4768 0.5000 0.0000
K 0.5000 0.0000 0.4768
Sb 0.0000 0.9932 0.5000
Sb 0.5000 0.0000 0.9932
Sb 0.5068 0.5068 0.5068
Sb 0.9932 0.5000 0.0000
O 0.2310 0.7500 0.9810
O 0.2500 0.5190 0.2690
O 0.2690 0.2500 0.5190
O 0.5190 0.2690 0.2500
O 0.7500 0.9810 0.2310
O 0.9810 0.2310 0.7500

Properties
total magnetic moment: 0.00 μB per formula unit
uncorrected energy: -0.174 Ha/atom

=====

Question: total magnetic moment of number 4 (K2Sb2O3)?
Answer: 0.00 μB per formula unit